VASP calculation (PBE-GGA) on crystalline SrAlZnPd2 at its relaxed geometry.

## Properties
- formation energy from the elements (meV per atom) = -628.6
- calculated density (Mg/m³) = 6.37
- Fermi-level density of states (states/eV per atom) = 0.4644
- crystal system = tetragonal

The structure in POSCAR format:
```
SrAlZnPd2
1.0
-2.1258 2.1258 5.6634
2.1258 -2.1258 5.6634
2.1258 2.1258 -5.6634
Sr Al Zn Pd
1 1 1 2
Direct
0.0000 0.0000 0.0000 Sr
0.7500 0.2500 0.5000 Al
0.2500 0.7500 0.5000 Zn
0.3769 0.3769 0.0000 Pd
0.6231 0.6231 0.0000 Pd
```

---

VASP calculation (PBE-GGA) on crystalline YBePt3 at its relaxed geometry.

## Properties
- formation energy from the elements (meV per atom) = -592.4
- calculated density (Mg/m³) = 11.81
- Fermi-level density of states (states/eV per atom) = 0.3223
- crystal system = tetragonal

The structure in POSCAR format:
```
YBePt3
1.0
-2.6021 2.6021 7.0957
2.6021 -2.6021 7.0957
2.6021 2.6021 -7.0957
Y Be Pt
2 2 6
Direct
0.1598 0.1598 0.0000 Y
0.8402 0.8402 0.0000 Y
0.5000 0.5000 0.0000 Be
0.7500 0.2500 0.5000 Be
0.0484 0.5484 0.5000 Pt
0.1249 0.3720 0.7529 Pt
0.4516 0.9516 0.5000 Pt
0.6191 0.3720 0.2471 Pt
0.6280 0.3809 0.7529 Pt
0.6280 0.8751 0.2471 Pt
```